No. 1
Density functional theory data (PBE) for a geometry-optimized ScCrTc2 structure.

Values from the calculation:
Density of states at the Fermi level (states/eV/cell): 9.4

Unit cell a=5.634 b=5.634 c=5.634 alpha=103.21 beta=103.21 gamma=122.88
Fractional coordinates of all 8 atoms:
Sc (0.000, 0.000, 0.000)
Sc (0.750, 0.250, 0.500)
Cr (0.250, 0.750, 0.500)
Cr (0.500, 0.500, 0.000)
Tc (0.178, 0.625, 0.053)
Tc (0.375, 0.428, 0.553)
Tc (0.572, 0.125, 0.947)
Tc (0.875, 0.822, 0.447)

No. 2
Density functional theory data (PBE) for a geometry-optimized Sc2CrTc2 structure.

Values from the calculation:
Density of states at the Fermi level (states/eV/cell): 13.4

Unit cell a=6.215 b=6.215 c=4.533 alpha=90.00 beta=90.00 gamma=90.00
Fractional coordinates of all 10 atoms:
Sc (0.175, 0.325, 0.000)
Sc (0.325, 0.825, 0.000)
Sc (0.675, 0.175, 0.000)
Sc (0.825, 0.675, 0.000)
Cr (0.000, 0.000, 0.500)
Cr (0.500, 0.500, 0.500)
Tc (0.144, 0.644, 0.500)
Tc (0.356, 0.144, 0.500)
Tc (0.644, 0.856, 0.500)
Tc (0.856, 0.356, 0.500)

No. 3
Density functional theory data (PBE) for a geometry-optimized ScCrTc2 structure.

Values from the calculation:
Density of states at the Fermi level (states/eV/cell): 3.7

Unit cell a=5.062 b=5.062 c=2.766 alpha=101.45 beta=101.45 gamma=114.95
Fractional coordinates of all 4 atoms:
Sc (0.000, 0.000, 0.000)
Cr (0.500, 0.500, 0.000)
Tc (0.000, 0.500, 0.500)
Tc (0.500, 0.000, 0.500)

No. 4
Density functional theory data (PBE) for a geometry-optimized ScCrTc2 structure.

Values from the calculation:
Density of states at the Fermi level (states/eV/cell): 4.4

Unit cell a=2.838 b=4.227 c=5.153 alpha=90.00 beta=90.00 gamma=90.00
Fractional coordinates of all 4 atoms:
Sc (0.000, 0.000, 0.000)
Cr (0.500, 0.500, 0.722)
Tc (0.000, 0.000, 0.506)
Tc (0.500, 0.500, 0.272)

No. 5
Density functional theory data (PBE) for a geometry-optimized ScCrTc2 structure.

Values from the calculation:
Density of states at the Fermi level (states/eV/cell): 2.6

Unit cell a=2.784 b=4.339 c=5.062 alpha=90.00 beta=101.88 gamma=90.00
Fractional coordinates of all 4 atoms:
Sc (0.000, 0.000, 0.000)
Cr (0.277, 0.500, 0.750)
Tc (0.485, 0.000, 0.507)
Tc (0.744, 0.500, 0.256)

No. 6
Density functional theory data (PBE) for a geometry-optimized ScCr2Tc structure.

Values from the calculation:
Density of states at the Fermi level (states/eV/cell): 4.4

Unit cell a=2.998 b=2.998 c=6.509 alpha=90.00 beta=90.00 gamma=90.00
Fractional coordinates of all 4 atoms:
Sc (0.000, 0.000, 0.000)
Cr (0.000, 0.000, 0.514)
Cr (0.500, 0.500, 0.717)
Tc (0.500, 0.500, 0.293)

No. 7
Density functional theory data (PBE) for a geometry-optimized Sc4CrTc structure.

Values from the calculation:
Density of states at the Fermi level (states/eV/cell): 7.9

Unit cell a=5.568 b=5.568 c=5.568 alpha=60.00 beta=60.00 gamma=60.00
Fractional coordinates of all 6 atoms:
Sc (0.124, 0.124, 0.124)
Sc (0.124, 0.124, 0.629)
Sc (0.124, 0.629, 0.124)
Sc (0.629, 0.124, 0.124)
Cr (0.500, 0.500, 0.500)
Tc (0.750, 0.750, 0.750)

No. 8
Density functional theory data (PBE) for a geometry-optimized ScCr2Tc structure.

Values from the calculation:
Density of states at the Fermi level (states/eV/cell): 5.3

Unit cell a=8.441 b=8.441 c=8.441 alpha=19.61 beta=19.61 gamma=19.61
Fractional coordinates of all 4 atoms:
Sc (0.000, 0.000, 0.000)
Cr (0.240, 0.240, 0.240)
Cr (0.507, 0.507, 0.507)
Tc (0.762, 0.762, 0.762)

| no. | formation enthalpy at 0 K (meV/atom) |
| --- | --- |
| 1 | 384 |
| 2 | -1 |
| 3 | 70 |
| 4 | 244 |
| 5 | 57 |
| 6 | 93 |
| 7 | 693 |
| 8 | 336 |